# ScV2Ni2

Crystalline ScV2Ni2 at its relaxed geometry (PBE, Alexandria via LeMat-Bulk).

Calculated values
formation energy from the elements	-0.2	eV per formula unit
space group	P4/mbm, No. 127

The structure in POSCAR format:
```
ScV2Ni2
1.0
7.357 0.000 0.000
0.000 7.357 0.000
0.000 0.000 2.579
Sc V Ni
2 4 4
Cartesian
0.000 0.000 0.000
3.678 3.678 0.000
0.851 2.827 0.000
2.827 6.506 0.000
4.530 0.851 0.000
6.506 4.530 0.000
1.315 4.994 1.290
2.363 1.315 1.290
4.994 6.042 1.290
6.042 2.363 1.290
```

=====

# ScVNi

Crystalline ScVNi at its relaxed geometry (PBE, Alexandria via LeMat-Bulk).

Calculated values
formation energy from the elements	-0.6	eV per formula unit
space group	P2_1/m, No. 11

The structure in POSCAR format:
```
ScVNi
1.0
3.008 0.000 0.000
0.000 4.176 0.000
-1.470 0.000 7.326
Sc V Ni
2 2 2
Cartesian
0.019 1.044 1.149
1.519 3.132 6.177
0.016 3.132 3.567
1.522 1.044 3.759
0.017 1.044 5.694
1.521 3.132 1.632
```

=====

# ScVNi3

Crystalline ScVNi3 at its relaxed geometry (PBE, Alexandria via LeMat-Bulk).

Calculated values
formation energy from the elements	2.1	eV per formula unit
space group	Pm-3m, No. 221

The structure in POSCAR format:
```
ScVNi3
1.0
4.311 0.000 0.000
0.000 4.311 0.000
0.000 0.000 4.311
Sc V Ni
1 1 3
Cartesian
0.000 0.000 0.000
2.155 2.155 2.155
0.000 2.155 2.155
2.155 0.000 2.155
2.155 2.155 0.000
```

=====

# ScVNi

Crystalline ScVNi at its relaxed geometry (PBE, Alexandria via LeMat-Bulk).

Calculated values
formation energy from the elements	-0.2	eV per formula unit
space group	I4mm, No. 107

The structure in POSCAR format:
```
ScVNi
1.0
-1.483 1.483 5.291
1.483 -1.483 5.291
1.483 1.483 -5.291
Sc V Ni
1 1 1
Cartesian
0.000 0.000 0.000
0.000 0.000 3.267
0.000 0.000 7.317
```

=====

# Sc3VNi12

Crystalline Sc3VNi12 at its relaxed geometry (PBE, Alexandria via LeMat-Bulk).

Calculated values
formation energy from the elements	-6.0	eV per formula unit
space group	P4/mmm, No. 123

The structure in POSCAR format:
```
Sc3VNi12
1.0
3.674 0.000 0.000
0.000 3.674 0.000
0.000 0.000 14.650
Sc V Ni
3 1 12
Cartesian
0.000 0.000 0.000
0.000 0.000 3.703
0.000 0.000 10.947
0.000 0.000 7.325
0.000 1.837 1.869
0.000 1.837 5.660
0.000 1.837 8.990
0.000 1.837 12.781
1.837 0.000 1.869
1.837 0.000 5.660
1.837 0.000 8.990
1.837 0.000 12.781
1.837 1.837 0.000
1.837 1.837 3.772
1.837 1.837 7.325
1.837 1.837 10.878
```

=====

# ScV2Ni

Crystalline ScV2Ni at its relaxed geometry (PBE, Alexandria via LeMat-Bulk).

Calculated values
formation energy from the elements	1.2	eV per formula unit
space group	Fm-3m, No. 225

The structure in POSCAR format:
```
ScV2Ni
1.0
0.000 3.060 3.060
3.060 0.000 3.060
3.060 3.060 0.000
Sc V Ni
1 2 1
Cartesian
0.000 0.000 0.000
1.530 1.530 1.530
4.591 4.591 4.591
3.060 3.060 3.060
```

=====

# ScVNi

Crystalline ScVNi at its relaxed geometry (PBE, Alexandria via LeMat-Bulk).

Calculated values
formation energy from the elements	-0.7	eV per formula unit
space group	Pmmn, No. 59

The structure in POSCAR format:
```
ScVNi
1.0
3.083 0.000 0.000
0.000 4.077 0.000
0.000 0.000 7.423
Sc V Ni
2 2 2
Cartesian
0.771 1.019 1.112
2.312 3.057 6.311
0.771 3.057 3.609
2.312 1.019 3.813
0.771 1.019 5.678
2.312 3.057 1.745
```

=====

# ScVNi2

Crystalline ScVNi2 at its relaxed geometry (PBE, Alexandria via LeMat-Bulk).

Calculated values
formation energy from the elements	-0.9	eV per formula unit
space group	P4/mmm, No. 123

The structure in POSCAR format:
```
ScVNi2
1.0
2.969 0.000 0.000
0.000 2.969 0.000
0.000 0.000 6.411
Sc V Ni
1 1 2
Cartesian
0.000 0.000 0.000
0.000 0.000 3.206
1.484 1.484 1.866
1.484 1.484 4.545
```

=====

# ScVNi

Crystalline ScVNi at its relaxed geometry (PBE, Alexandria via LeMat-Bulk).

Calculated values
formation energy from the elements	-0.4	eV per formula unit
space group	P-1, No. 2

The structure in POSCAR format:
```
ScVNi
1.0
3.017 0.000 0.000
-1.451 4.643 0.000
-1.502 -0.660 6.623
Sc V Ni
2 2 2
Cartesian
0.011 1.323 1.121
0.052 2.660 5.503
-1.483 3.238 3.015
1.546 0.744 3.609
0.007 0.090 5.469
0.057 3.893 1.154
```

=====

# ScVNi

Crystalline ScVNi at its relaxed geometry (PBE, Alexandria via LeMat-Bulk).

Calculated values
formation energy from the elements	-0.7	eV per formula unit
space group	Imma, No. 74

The structure in POSCAR format:
```
ScVNi
1.0
-2.386 2.612 3.662
2.386 -2.612 3.662
2.386 2.612 -3.662
Sc V Ni
2 2 2
Cartesian
0.000 1.306 0.887
2.386 1.306 2.776
1.193 1.306 -1.831
1.193 -1.306 1.831
2.386 0.000 0.000
0.000 0.000 3.662
```

=====

# ScVNi

Crystalline ScVNi at its relaxed geometry (PBE, Alexandria via LeMat-Bulk).

Calculated values
formation energy from the elements	-0.3	eV per formula unit
space group	C2/m, No. 12

The structure in POSCAR format:
```
ScVNi
1.0
2.433 -6.811 0.000
2.433 6.811 0.000
-0.631 0.000 2.743
Sc V Ni
2 2 2
Cartesian
2.433 4.358 0.000
2.433 -4.358 0.000
0.695 0.000 2.025
3.540 0.000 0.718
2.117 1.880 1.372
2.117 -1.880 1.372
```

=====

# ScVNi2

Crystalline ScVNi2 at its relaxed geometry (PBE, Alexandria via LeMat-Bulk).

Calculated values
formation energy from the elements	0.6	eV per formula unit
space group	I-42d, No. 122

The structure in POSCAR format:
```
ScVNi2
1.0
-3.366 3.366 2.646
3.366 -3.366 2.646
3.366 3.366 -2.646
Sc V Ni
2 2 4
Cartesian
0.000 0.000 0.000
0.000 3.366 1.323
3.366 0.000 1.323
0.000 0.000 2.646
1.683 -1.492 1.985
1.874 1.683 0.662
1.683 4.858 -0.662
1.492 1.683 3.308
```

=====

The evaluated E for the records listed, in turn: -7.265; -7.280; -6.138; -7.143; -6.467; -7.283; -7.299; -6.975; -7.200; -7.294; -7.183; -6.608 eV per atom.
The evaluated D(E_F) for the records listed, in turn: 6.97; 3.56; 5.84; 3.98; 15.38; 6.35; 3.07; 5.19; 3.23; 3.50; 3.63; 5.03 states/eV/f.u..
The evaluated mass density for the records listed, in turn: 6.3; 5.6; 5.6; 5.5; 7.5; 6.0; 5.5; 6.3; 5.5; 5.6; 5.6; 5.9 g/cm3.